## VZnSb2 (PBE)

Data for a relaxed VZnSb2 crystal.

## Properties
Its density of states at the Fermi level is 14.423 states/eV/cell. As for the formation energy (no corrections): 0.352 eV per atom. The total energy is -4.307 eV/atom.

CIF file:
```
data_VZnSb2
_chemical_formula_sum 'V4 Zn4 Sb8'
_symmetry_space_group_name_H-M 'I -4 2 d'
_symmetry_Int_Tables_number 122
_symmetry_space_group_name_Hall 'I -4 2bw'
_cell_length_a 6.202
_cell_length_b 6.202
_cell_length_c 12.115
_cell_angle_alpha 90.00
_cell_angle_beta 90.00
_cell_angle_gamma 90.00
loop_
_atom_site_label
_atom_site_fract_x
_atom_site_fract_y
_atom_site_fract_z
V1 0.000 0.000 0.000
Zn1 0.000 0.000 0.500
Sb1 0.239 0.250 0.125
```

=====

## V2ZnSb2 (PBE)

Data for a relaxed V2ZnSb2 crystal.

## Properties
Its density of states at the Fermi level is 7.215 states/eV/cell. As for the formation energy (no corrections): 0.054 eV per atom. For the offset from the most stable computed form, the calculation gives 0 meV per atom. The total energy is -5.497 eV/atom.

CIF file:
```
data_V2ZnSb2
_chemical_formula_sum 'V4 Zn2 Sb4'
_symmetry_space_group_name_H-M 'P 4/m b m'
_symmetry_Int_Tables_number 127
_symmetry_space_group_name_Hall '-P 4 2ab'
_cell_length_a 7.109
_cell_length_b 7.109
_cell_length_c 3.597
_cell_angle_alpha 90.00
_cell_angle_beta 90.00
_cell_angle_gamma 90.00
loop_
_atom_site_label
_atom_site_fract_x
_atom_site_fract_y
_atom_site_fract_z
V1 0.139 0.361 0.000
Zn1 0.000 0.000 0.000
Sb1 0.158 0.658 0.500
```

=====

## V3ZnSb (PBE)

Data for a relaxed V3ZnSb crystal.

## Properties
Its density of states at the Fermi level is 8.742 states/eV/cell. As for the formation energy (no corrections): 0.968 eV per atom. For the offset from the most stable computed form, the calculation gives 0 meV per atom. The total energy is -5.582 eV/atom.

CIF file:
```
data_V3ZnSb
_chemical_formula_sum 'V3 Zn1 Sb1'
_symmetry_space_group_name_H-M 'P m -3 m'
_symmetry_Int_Tables_number 221
_symmetry_space_group_name_Hall '-P 4 2 3'
_cell_length_a 4.569
_cell_length_b 4.569
_cell_length_c 4.569
_cell_angle_alpha 90.00
_cell_angle_beta 90.00
_cell_angle_gamma 90.00
loop_
_atom_site_label
_atom_site_fract_x
_atom_site_fract_y
_atom_site_fract_z
V1 0.000 0.000 0.500
Zn1 0.000 0.000 0.000
Sb1 0.500 0.500 0.500
```

=====

## VZnSb2 (PBE)

Data for a relaxed VZnSb2 crystal.

## Properties
Its density of states at the Fermi level is 11.638 states/eV/cell. As for the formation energy (no corrections): 0.154 eV per atom. The total energy is -4.506 eV/atom.

CIF file:
```
data_VZnSb2
_chemical_formula_sum 'V3 Zn3 Sb6'
_symmetry_space_group_name_H-M 'R -3 m'
_symmetry_Int_Tables_number 166
_symmetry_space_group_name_Hall '-R 3 2"'
_cell_length_a 3.3903
_cell_length_b 3.3903
_cell_length_c 27.0443
_cell_angle_alpha 90.00
_cell_angle_beta 90.00
_cell_angle_gamma 120.00
loop_
_atom_site_label
_atom_site_fract_x
_atom_site_fract_y
_atom_site_fract_z
V1 0.0000 0.0000 0.0000
Zn1 0.0000 0.0000 0.5000
Sb1 0.0000 0.0000 0.4018
```

=====

## V3ZnSb (PBE)

Data for a relaxed V3ZnSb crystal.

## Properties
Its density of states at the Fermi level is 9.127 states/eV/cell. As for the formation energy (no corrections): 1.391 eV per atom. For the offset from the most stable computed form, the calculation gives 423 meV per atom. The total energy is -5.159 eV/atom.

CIF file:
```
data_V3ZnSb
_chemical_formula_sum 'V3 Zn1 Sb1'
_symmetry_space_group_name_H-M 'P m -3 m'
_symmetry_Int_Tables_number 221
_symmetry_space_group_name_Hall '-P 4 2 3'
_cell_length_a 5.067
_cell_length_b 5.067
_cell_length_c 5.067
_cell_angle_alpha 90.00
_cell_angle_beta 90.00
_cell_angle_gamma 90.00
loop_
_atom_site_label
_atom_site_fract_x
_atom_site_fract_y
_atom_site_fract_z
V1 0.000 0.000 0.500
Zn1 0.500 0.500 0.500
Sb1 0.000 0.000 0.000
```

=====

## VZn2Sb (PBE)

Data for a relaxed VZn2Sb crystal.

## Properties
Its density of states at the Fermi level is 8.964 states/eV/cell. As for the formation energy (no corrections): 0.395 eV per atom. The total energy is -3.552 eV/atom.

CIF file:
```
data_VZn2Sb
_chemical_formula_sum 'V4 Zn8 Sb4'
_symmetry_space_group_name_H-M 'I -4 2 d'
_symmetry_Int_Tables_number 122
_symmetry_space_group_name_Hall 'I -4 2bw'
_cell_length_a 7.537
_cell_length_b 7.537
_cell_length_c 5.217
_cell_angle_alpha 90.00
_cell_angle_beta 90.00
_cell_angle_gamma 90.00
loop_
_atom_site_label
_atom_site_fract_x
_atom_site_fract_y
_atom_site_fract_z
V1 0.000 0.000 0.000
Zn1 0.234 0.250 0.125
Sb1 0.000 0.000 0.500
```

=====

## ZrVSb2 (PBE)

Data for a relaxed ZrVSb2 crystal.

## Properties
Its density of states at the Fermi level is 9.145 states/eV/cell. As for the formation energy (no corrections): -0.197 eV per atom. For the offset from the most stable computed form, the calculation gives 0 meV per atom. The total energy is -6.675 eV/atom.

CIF file:
```
data_ZrVSb2
_chemical_formula_sum 'Zr3 V3 Sb6'
_symmetry_space_group_name_H-M 'R -3 m'
_symmetry_Int_Tables_number 166
_symmetry_space_group_name_Hall '-R 3 2"'
_cell_length_a 4.1393
_cell_length_b 4.1393
_cell_length_c 18.7164
_cell_angle_alpha 90.00
_cell_angle_beta 90.00
_cell_angle_gamma 120.00
loop_
_atom_site_label
_atom_site_fract_x
_atom_site_fract_y
_atom_site_fract_z
Zr1 0.0000 0.0000 0.0000
V1 0.0000 0.0000 0.5000
Sb1 0.0000 0.0000 0.2419
```

=====

## ZrVSb2 (PBE)

Data for a relaxed ZrVSb2 crystal.

## Properties
Its density of states at the Fermi level is 13.382 states/eV/cell. As for the formation energy (no corrections): -0.116 eV per atom. For the offset from the most stable computed form, the calculation gives 80 meV per atom. The total energy is -6.594 eV/atom.

CIF file:
```
data_ZrVSb2
_chemical_formula_sum 'Zr4 V4 Sb8'
_symmetry_space_group_name_H-M 'F m -3 m'
_symmetry_Int_Tables_number 225
_symmetry_space_group_name_Hall '-F 4 2 3'
_cell_length_a 6.905
_cell_length_b 6.905
_cell_length_c 6.905
_cell_angle_alpha 90.00
_cell_angle_beta 90.00
_cell_angle_gamma 90.00
loop_
_atom_site_label
_atom_site_fract_x
_atom_site_fract_y
_atom_site_fract_z
Zr1 0.000 0.000 0.000
V1 0.000 0.000 0.500
Sb1 0.250 0.250 0.250
```